Computed, not measured: an optimized crystal structure of CoPt2Cl at the PBEsol level of DFT.

Cell lengths 2.726, 4.461, 9.997 Å; angles 90.00, 90.00, 90.00 degrees
Space group Immm (No. 71)
One atom of each set of equivalent atoms:
Co 0.000 0.000 0.000 (multiplicity 2)
Pt 0.000 0.500 0.275 (multiplicity 4)
Cl 0.000 0.000 0.500 (multiplicity 2)

calculated volume = 15.20 Å³/atom
electronic total energy = -5.526 eV/atom


Computed, not measured: an optimized crystal structure of Co2PtCl at the PBEsol level of DFT.

Cell lengths 6.497, 6.497, 5.040 Å; angles 90.00, 90.00, 90.00 degrees
Space group I-42d (No. 122)
One atom of each set of equivalent atoms:
Co 0.214 0.750 0.125 (multiplicity 8)
Pt 0.000 0.000 0.500 (multiplicity 4)
Cl 0.000 0.000 0.000 (multiplicity 4)

energy above the lowest structure with this stoichiometry = 299 meV per atom
calculated volume = 13.30 Å³/atom
electronic total energy = -5.544 eV/atom


Q: What is the electronic total energy in the second record?
A: -5.544 eV/atom